Entry 1:
Material: ZrSbRu
Method: DFT, PBE
State: relaxed

## Properties
Crystal system   hexagonal
Total moment   0.00 μB per cell
SG   P-6m2, No. 187
Density   9.1 g/cm3
Energy relative to the elements, uncorrected   -0.46 eV/atom

```
data_ZrSbRu
_chemical_formula_sum 'Zr1 Sb1 Ru1'
_cell_length_a 4.5434
_cell_length_b 4.5434
_cell_length_c 3.2111
_cell_angle_alpha 90.00
_cell_angle_beta 90.00
_cell_angle_gamma 120.00
_space_group_name_H-M_alt 'P 1'
_space_group_IT_number 1
loop_
_space_group_symop_operation_xyz
'x,y,z'
loop_
_atom_site_label
_atom_site_type_symbol
_atom_site_fract_x
_atom_site_fract_y
_atom_site_fract_z
Zr1 Zr 0.0000 0.0000 0.0000
Sb1 Sb 0.3333 0.6667 0.5000
Ru1 Ru 0.6667 0.3333 0.5000
```

---

Entry 2:
Material: AlZnIn2
Method: DFT, PBE
State: relaxed

## Properties
Crystal system   orthorhombic
Total moment   0.00 μB per cell
SG   Imm2, No. 44
Density   6.0 g/cm3
Formation enthalpy at 0 K   0.56 eV/f.u.

```
data_AlZnIn2
_chemical_formula_sum 'Al1 Zn1 In2'
_cell_length_a 6.3699
_cell_length_b 6.3699
_cell_length_c 6.3699
_cell_angle_alpha 152.38
_cell_angle_beta 132.02
_cell_angle_gamma 56.26
_space_group_name_H-M_alt 'P 1'
_space_group_IT_number 1
loop_
_space_group_symop_operation_xyz
'x,y,z'
loop_
_atom_site_label
_atom_site_type_symbol
_atom_site_fract_x
_atom_site_fract_y
_atom_site_fract_z
Al1 Al 0.0000 0.0000 0.0000
Zn1 Zn 0.8012 0.3012 0.5000
In1 In 0.2590 0.7590 0.5000
In2 In 0.5589 0.5589 0.0000
```

---

Entry 3:
Material: Na3Tl4Hg2Pd2
Method: DFT, PBE
State: relaxed

## Properties
Crystal system   trigonal
Total moment   0.00 μB per cell
SG   P-3m1, No. 164
Density   8.9 g/cm3
Formation enthalpy at 0 K   -1.62 eV/f.u.

```
data_Na3Tl4Hg2Pd2
_chemical_formula_sum 'Na3 Tl4 Hg2 Pd2'
_cell_length_a 5.1232
_cell_length_b 5.1232
_cell_length_c 12.3790
_cell_angle_alpha 90.00
_cell_angle_beta 90.00
_cell_angle_gamma 120.00
_space_group_name_H-M_alt 'P 1'
_space_group_IT_number 1
loop_
_space_group_symop_operation_xyz
'x,y,z'
loop_
_atom_site_label
_atom_site_type_symbol
_atom_site_fract_x
_atom_site_fract_y
_atom_site_fract_z
Na1 Na 0.0000 0.0000 0.0000
Na2 Na 0.0000 0.0000 0.3025
Na3 Na 0.0000 0.0000 0.6975
Tl1 Tl 0.3333 0.6667 0.4050
Tl2 Tl 0.3333 0.6667 0.8504
Tl3 Tl 0.6667 0.3333 0.1496
Tl4 Tl 0.6667 0.3333 0.5950
Hg1 Hg 0.3333 0.6667 0.1258
Hg2 Hg 0.6667 0.3333 0.8742
Pd1 Pd 0.3333 0.6667 0.6278
Pd2 Pd 0.6667 0.3333 0.3722
```

---

Entry 4:
Material: Mg2Sn3Pd
Method: DFT, PBE
State: relaxed

## Properties
Crystal system   orthorhombic
Total moment   0.00 μB per cell
SG   Cmmm, No. 65
Density   6.2 g/cm3
Formation enthalpy at 0 K   -1.33 eV/f.u.

```
data_Mg2Sn3Pd
_chemical_formula_sum 'Mg2 Sn3 Pd1'
_cell_length_a 9.1088
_cell_length_b 9.1088
_cell_length_c 3.3340
_cell_angle_alpha 90.00
_cell_angle_beta 90.00
_cell_angle_gamma 150.29
_space_group_name_H-M_alt 'P 1'
_space_group_IT_number 1
loop_
_space_group_symop_operation_xyz
'x,y,z'
loop_
_atom_site_label
_atom_site_type_symbol
_atom_site_fract_x
_atom_site_fract_y
_atom_site_fract_z
Mg1 Mg 0.1265 0.8735 0.0000
Mg2 Mg 0.8735 0.1265 0.0000
Sn1 Sn 0.3088 0.6912 0.5000
Sn2 Sn 0.5000 0.5000 0.0000
Sn3 Sn 0.6912 0.3088 0.5000
Pd1 Pd 0.0000 0.0000 0.5000
```

---

Entry 5:
Material: TiAlInC2
Method: DFT, PBE
State: relaxed

## Properties
Crystal system   tetragonal
Total moment   0.00 μB per cell
SG   P4/mmm, No. 123
Density   4.0 g/cm3
Formation enthalpy at 0 K   6.74 eV/f.u.

```
data_TiAlInC2
_chemical_formula_sum 'Ti1 Al1 In1 C2'
_cell_length_a 4.1037
_cell_length_b 4.1037
_cell_length_c 5.2599
_cell_angle_alpha 90.00
_cell_angle_beta 90.00
_cell_angle_gamma 90.00
_space_group_name_H-M_alt 'P 1'
_space_group_IT_number 1
loop_
_space_group_symop_operation_xyz
'x,y,z'
loop_
_atom_site_label
_atom_site_type_symbol
_atom_site_fract_x
_atom_site_fract_y
_atom_site_fract_z
Ti1 Ti 0.0000 0.0000 0.0000
Al1 Al 0.0000 0.0000 0.5000
In1 In 0.5000 0.5000 0.5000
C1 C 0.0000 0.5000 0.0000
C2 C 0.5000 0.0000 0.0000
```

---

Entry 6:
Material: Ho5ZnGa4
Method: DFT, PBE
State: relaxed

## Properties
Crystal system   tetragonal
Total moment   0.00 μB per cell
SG   P4/mmm, No. 123
Density   8.6 g/cm3
Formation enthalpy at 0 K   -5.38 eV/f.u.

```
data_Ho5ZnGa4
_chemical_formula_sum 'Ho5 Zn1 Ga4'
_cell_length_a 3.5551
_cell_length_b 3.5551
_cell_length_c 17.7611
_cell_angle_alpha 90.00
_cell_angle_beta 90.00
_cell_angle_gamma 90.00
_space_group_name_H-M_alt 'P 1'
_space_group_IT_number 1
loop_
_space_group_symop_operation_xyz
'x,y,z'
loop_
_atom_site_label
_atom_site_type_symbol
_atom_site_fract_x
_atom_site_fract_y
_atom_site_fract_z
Ho1 Ho 0.0000 0.0000 0.0000
Ho2 Ho 0.0000 0.0000 0.2006
Ho3 Ho 0.0000 0.0000 0.4013
Ho4 Ho 0.0000 0.0000 0.5987
Ho5 Ho 0.0000 0.0000 0.7994
Zn1 Zn 0.5000 0.5000 0.5000
Ga1 Ga 0.5000 0.5000 0.1000
Ga2 Ga 0.5000 0.5000 0.3024
Ga3 Ga 0.5000 0.5000 0.6976
Ga4 Ga 0.5000 0.5000 0.9000
```

---

Entry 7:
Material: Pm12TmSc2
Method: DFT, PBE
State: relaxed

## Properties
Crystal system   monoclinic
Total moment   0.00 μB per cell
SG   P2/m, No. 10
Density   6.7 g/cm3
Formation enthalpy at 0 K   1.54 eV/f.u.

```
data_Pm12TmSc2
_chemical_formula_sum 'Pm12 Tm1 Sc2'
_cell_length_a 3.6355
_cell_length_b 5.7901
_cell_length_c 23.5554
_cell_angle_alpha 90.00
_cell_angle_beta 94.38
_cell_angle_gamma 90.00
_space_group_name_H-M_alt 'P 1'
_space_group_IT_number 1
loop_
_space_group_symop_operation_xyz
'x,y,z'
loop_
_atom_site_label
_atom_site_type_symbol
_atom_site_fract_x
_atom_site_fract_y
_atom_site_fract_z
Pm1 Pm 0.0305 0.0000 0.0658
Pm2 Pm 0.0701 0.5000 0.1502
Pm3 Pm 0.1563 0.0000 0.3178
Pm4 Pm 0.2024 0.5000 0.4219
Pm5 Pm 0.2855 0.0000 0.5591
Pm6 Pm 0.4084 0.0000 0.8060
Pm7 Pm 0.5916 0.0000 0.1940
Pm8 Pm 0.7145 0.0000 0.4409
Pm9 Pm 0.7976 0.5000 0.5781
Pm10 Pm 0.8437 0.0000 0.6822
Pm11 Pm 0.9299 0.5000 0.8498
Pm12 Pm 0.9695 0.0000 0.9342
Tm1 Tm 0.5000 0.5000 0.0000
Sc1 Sc 0.3620 0.5000 0.7152
Sc2 Sc 0.6380 0.5000 0.2848
```

---

Entry 8:
Material: SrCuSe2O6
Method: DFT, PBE
State: relaxed

## Properties
Crystal system   trigonal
Total moment   1.00 μB per cell
SG   R-3, No. 148
Density   4.6 g/cm3
Energy relative to the elements, uncorrected   -1.20 eV/atom
Excess energy over the best structure of this formula in the dataset   0.107 eV per atom

```
data_SrCuSe2O6
_chemical_formula_sum 'Sr1 Cu1 Se2 O6'
_cell_length_a 6.5749
_cell_length_b 6.5749
_cell_length_c 6.5749
_cell_angle_alpha 48.32
_cell_angle_beta 48.32
_cell_angle_gamma 48.32
_space_group_name_H-M_alt 'P 1'
_space_group_IT_number 1
loop_
_space_group_symop_operation_xyz
'x,y,z'
loop_
_atom_site_label
_atom_site_type_symbol
_atom_site_fract_x
_atom_site_fract_y
_atom_site_fract_z
Sr1 Sr 0.0000 0.0000 0.0000
Cu1 Cu 0.5000 0.5000 0.5000
Se1 Se 0.2016 0.2016 0.2016
Se2 Se 0.7984 0.7984 0.7984
O1 O 0.0748 0.6893 0.5017
O2 O 0.3107 0.4983 0.9252
O3 O 0.4983 0.9252 0.3107
O4 O 0.5017 0.0748 0.6893
O5 O 0.6893 0.5017 0.0748
O6 O 0.9252 0.3107 0.4983
```